12
Lattice="5.343 -3.103 0.000 5.343 3.103 0.000 -0.330 0.000 4.672" Properties=species:S:1:pos:R:3 comment="PuMn3O6F2 PBE with a Hubbard U relaxed" n_ef_per_ev_cell=7.7 total_energy_ev_per_atom=-7.94 pbc="T T T"
Pu 0.000 0.000 0.000
Mn 2.671 1.552 0.000
Mn 2.671 -1.552 0.000
Mn 5.178 0.000 2.336
O 4.367 1.623 1.031
O 1.923 0.000 0.930
O 5.989 1.623 3.641
O 4.367 -1.623 1.031
O 8.433 0.000 3.742
O 5.989 -1.623 3.641
F 3.349 0.000 3.468
F 7.007 0.000 1.205